Density functional theory data (PBE-GGA) for a geometry-optimized Al2TlBi2 structure.

## Properties
E   -0.24272 Ry per atom
Calculated density   8.1 g/cm3
E above lowest polymorph   0.623 eV/f.u.
Formation energy   1.1 eV/f.u.
Fermi-level density of states   5.1 states/eV/cell

Unit cell a=8.984 b=8.984 c=3.456 alpha=90.00 beta=90.00 gamma=90.00
Atoms (fractional coordinates):
Tl (0.000, 0.000, 0.000)
Tl (0.500, 0.500, 0.000)
Bi (0.346, 0.846, 0.000)
Bi (0.846, 0.654, 0.000)
Bi (0.654, 0.154, 0.000)
Bi (0.154, 0.346, 0.000)
Al (0.140, 0.640, 0.500)
Al (0.640, 0.860, 0.500)
Al (0.860, 0.360, 0.500)
Al (0.360, 0.140, 0.500)

Density functional theory data (PBE-GGA) for a geometry-optimized Al2TlBi2 structure.

## Properties
E   -0.25189 Ry per atom
Calculated density   7.6 g/cm3
E above lowest polymorph   0.000 eV/f.u.
Formation energy   0.5 eV/f.u.
Fermi-level density of states   2.1 states/eV/cell

Unit cell a=4.380 b=4.380 c=8.322 alpha=74.74 beta=74.74 gamma=90.00
Atoms (fractional coordinates):
Tl (0.000, 0.000, 0.000)
Bi (0.375, 0.375, 0.250)
Bi (0.625, 0.625, 0.750)
Al (0.750, 0.250, 0.500)
Al (0.250, 0.750, 0.500)

Density functional theory data (PBE-GGA) for a geometry-optimized Al2TlBi2 structure.

## Properties
E   -0.24705 Ry per atom
Calculated density   8.4 g/cm3
E above lowest polymorph   0.329 eV/f.u.
Formation energy   0.8 eV/f.u.
Fermi-level density of states   2.9 states/eV/cell

Unit cell a=8.298 b=8.298 c=3.898 alpha=90.00 beta=90.00 gamma=90.00
Atoms (fractional coordinates):
Tl (0.000, 0.000, 0.000)
Tl (0.500, 0.500, 0.000)
Bi (0.166, 0.666, 0.500)
Bi (0.666, 0.834, 0.500)
Bi (0.834, 0.334, 0.500)
Bi (0.334, 0.166, 0.500)
Al (0.377, 0.877, 0.000)
Al (0.877, 0.623, 0.000)
Al (0.623, 0.123, 0.000)
Al (0.123, 0.377, 0.000)

Density functional theory data (PBE-GGA) for a geometry-optimized AlTlBi2 structure.

## Properties
E   -0.24440 Ry per atom
Calculated density   7.1 g/cm3
Formation energy   0.6 eV/f.u.
Fermi-level density of states   0.6 states/eV/cell

Unit cell a=6.736 b=6.736 c=8.207 alpha=65.77 beta=65.77 gamma=90.00
Atoms (fractional coordinates):
Tl (0.000, 0.000, 0.000)
Tl (0.750, 0.250, 0.500)
Bi (0.596, 0.125, 0.250)
Bi (0.154, 0.625, 0.250)
Bi (0.375, 0.404, 0.750)
Bi (0.875, 0.846, 0.750)
Al (0.500, 0.500, 0.000)
Al (0.250, 0.750, 0.500)

Density functional theory data (PBE-GGA) for a geometry-optimized AlTlBi2 structure.

## Properties
E   -0.24357 Ry per atom
Calculated density   8.7 g/cm3
Formation energy   0.6 eV/f.u.
Fermi-level density of states   2.5 states/eV/cell

Unit cell a=4.683 b=4.683 c=7.093 alpha=70.73 beta=70.73 gamma=60.00
Atoms (fractional coordinates):
Al (0.668, 0.668, 0.996)
Tl (0.499, 0.499, 0.504)
Bi (0.066, 0.066, 0.801)
Bi (0.267, 0.267, 0.198)

Density functional theory data (PBE-GGA) for a geometry-optimized Tm5Al2Bi structure.

## Properties
E   -0.34105 Ry per atom
Calculated density   8.7 g/cm3
Formation energy   -3.4 eV/f.u.
Fermi-level density of states   12.9 states/eV/cell

Unit cell a=8.168 b=8.168 c=8.576 alpha=118.44 beta=118.44 gamma=90.00
Atoms (fractional coordinates):
Tm (0.509, 0.702, 0.711)
Tm (0.798, 0.991, 0.289)
Tm (0.000, 0.000, 0.000)
Tm (0.500, 0.500, 0.000)
Tm (0.202, 0.009, 0.711)
Tm (0.702, 0.202, 0.711)
Tm (0.009, 0.509, 0.711)
Tm (0.298, 0.798, 0.289)
Tm (0.991, 0.491, 0.289)
Tm (0.491, 0.298, 0.289)
Al (0.143, 0.357, 0.000)
Al (0.643, 0.143, 0.000)
Al (0.357, 0.857, 0.000)
Al (0.857, 0.643, 0.000)
Bi (0.750, 0.750, 0.500)
Bi (0.250, 0.250, 0.500)

Density functional theory data (PBE-GGA) for a geometry-optimized Tm5AlBi2 structure.

## Properties
E   -0.32639 Ry per atom
Calculated density   9.3 g/cm3
Formation energy   -1.7 eV/f.u.
Fermi-level density of states   15.1 states/eV/cell

Unit cell a=5.519 b=6.356 c=14.554 alpha=90.00 beta=90.00 gamma=115.73
Atoms (fractional coordinates):
Tm (0.924, 0.849, 0.902)
Tm (0.924, 0.849, 0.598)
Tm (0.379, 0.757, 0.447)
Tm (0.379, 0.757, 0.053)
Tm (0.553, 0.106, 0.250)
Tm (0.447, 0.894, 0.750)
Tm (0.621, 0.243, 0.553)
Tm (0.621, 0.243, 0.947)
Tm (0.076, 0.151, 0.098)
Tm (0.076, 0.151, 0.402)
Al (0.730, 0.460, 0.750)
Al (0.270, 0.540, 0.250)
Bi (0.788, 0.577, 0.376)
Bi (0.788, 0.577, 0.124)
Bi (0.212, 0.423, 0.624)
Bi (0.212, 0.423, 0.876)

Density functional theory data (PBE-GGA) for a geometry-optimized Tm8Al2Bi structure.

## Properties
E   -0.33095 Ry per atom
Calculated density   8.6 g/cm3
Formation energy   -2.4 eV/f.u.
Fermi-level density of states   11.1 states/eV/cell

Unit cell a=4.902 b=6.886 c=9.782 alpha=103.12 beta=104.51 gamma=90.00
Atoms (fractional coordinates):
Tm (0.403, 0.529, 0.807)
Tm (0.663, 0.972, 0.326)
Tm (0.786, 0.686, 0.572)
Tm (0.969, 0.248, 0.938)
Tm (0.214, 0.314, 0.428)
Tm (0.337, 0.028, 0.674)
Tm (0.597, 0.471, 0.193)
Tm (0.031, 0.752, 0.062)
Al (0.812, 0.257, 0.624)
Al (0.188, 0.743, 0.376)
Bi (0.500, 0.000, 0.000)

Density functional theory data (PBE-GGA) for a geometry-optimized Tm8AlBi2 structure.

## Properties
E   -0.33377 Ry per atom
Calculated density   9.4 g/cm3
Formation energy   -2.7 eV/f.u.
Fermi-level density of states   11.6 states/eV/cell

Unit cell a=5.079 b=6.716 c=9.862 alpha=102.49 beta=104.92 gamma=90.00
Atoms (fractional coordinates):
Tm (0.411, 0.519, 0.821)
Tm (0.654, 0.031, 0.308)
Tm (0.787, 0.655, 0.573)
Tm (0.987, 0.235, 0.975)
Tm (0.213, 0.345, 0.427)
Tm (0.346, 0.969, 0.692)
Tm (0.589, 0.481, 0.179)
Tm (0.013, 0.765, 0.025)
Al (0.500, 0.000, 0.000)
Bi (0.822, 0.216, 0.644)
Bi (0.178, 0.784, 0.356)

Density functional theory data (PBE-GGA) for a geometry-optimized TmAl4Bi structure.

## Properties
E   -0.29600 Ry per atom
Calculated density   6.5 g/cm3
Formation energy   -0.8 eV/f.u.
Fermi-level density of states   4.9 states/eV/cell

Unit cell a=5.591 b=5.591 c=5.591 alpha=60.00 beta=60.00 gamma=60.00
Atoms (fractional coordinates):
Tm (0.000, 0.000, 0.000)
Bi (0.250, 0.250, 0.250)
Al (0.625, 0.625, 0.125)
Al (0.625, 0.125, 0.625)
Al (0.625, 0.625, 0.625)
Al (0.125, 0.625, 0.625)

Density functional theory data (PBE-GGA) for a geometry-optimized Tm5AlBi structure.

## Properties
E   -0.32417 Ry per atom
Calculated density   8.9 g/cm3
Formation energy   -0.9 eV/f.u.
Fermi-level density of states   15.0 states/eV/cell

Unit cell a=6.130 b=6.130 c=10.729 alpha=93.53 beta=93.53 gamma=91.95
Atoms (fractional coordinates):
Tm (0.029, 0.603, 0.156)
Tm (0.239, 0.446, 0.490)
Tm (0.603, 0.029, 0.656)
Tm (0.872, 0.128, 0.250)
Tm (0.554, 0.761, 0.010)
Tm (0.446, 0.239, 0.990)
Tm (0.128, 0.872, 0.750)
Tm (0.397, 0.971, 0.344)
Tm (0.761, 0.554, 0.510)
Tm (0.971, 0.397, 0.844)
Al (0.000, 0.000, 0.000)
Al (0.000, 0.000, 0.500)
Bi (0.513, 0.487, 0.250)
Bi (0.487, 0.513, 0.750)

Density functional theory data (PBE-GGA) for a geometry-optimized TmAlBi structure.

## Properties
E   -0.32043 Ry per atom
Calculated density   8.6 g/cm3
Formation energy   -1.0 eV/f.u.
Fermi-level density of states   2.8 states/eV/cell

Unit cell a=4.385 b=4.572 c=8.100 alpha=73.61 beta=90.00 gamma=90.00
Atoms (fractional coordinates):
Tm (0.250, 0.910, 0.180)
Tm (0.750, 0.090, 0.820)
Bi (0.250, 0.251, 0.497)
Bi (0.750, 0.749, 0.503)
Al (0.250, 0.549, 0.902)
Al (0.750, 0.451, 0.098)

Density functional theory data (PBE-GGA) for a geometry-optimized Tm4AlBi2 structure.

## Properties
E   -0.33980 Ry per atom
Calculated density   8.7 g/cm3
Formation energy   -3.0 eV/f.u.
Fermi-level density of states   9.5 states/eV/cell

Unit cell a=4.645 b=7.713 c=11.985 alpha=90.00 beta=90.00 gamma=90.00
Atoms (fractional coordinates):
Tm (0.000, 0.653, 0.782)
Tm (0.000, 0.347, 0.218)
Tm (0.000, 0.153, 0.718)
Tm (0.000, 0.847, 0.282)
Tm (0.500, 0.790, 0.557)
Tm (0.500, 0.210, 0.443)
Tm (0.500, 0.710, 0.057)
Tm (0.500, 0.290, 0.943)
Al (0.000, 0.000, 0.500)
Al (0.000, 0.500, 0.000)
Bi (0.500, 0.923, 0.825)
Bi (0.500, 0.077, 0.175)
Bi (0.500, 0.423, 0.675)
Bi (0.500, 0.577, 0.325)

Density functional theory data (PBE-GGA) for a geometry-optimized TmAl2Bi structure.

## Properties
E   -0.30641 Ry per atom
Calculated density   7.8 g/cm3
Formation energy   -0.8 eV/f.u.
Fermi-level density of states   1.4 states/eV/cell

Unit cell a=4.384 b=4.587 c=4.587 alpha=90.00 beta=90.00 gamma=90.00
Atoms (fractional coordinates):
Tm (0.500, 0.000, 0.000)
Bi (0.500, 0.500, 0.500)
Al (0.000, 0.000, 0.500)
Al (0.000, 0.500, 0.000)

Density functional theory data (PBE-GGA) for a geometry-optimized Tm7Al2Bi2 structure.

## Properties
E   -0.31779 Ry per atom
Calculated density   8.0 g/cm3
Formation energy   -1.0 eV/f.u.
Fermi-level density of states   14.1 states/eV/cell

Unit cell a=7.128 b=6.835 c=7.128 alpha=90.00 beta=98.10 gamma=90.00
Atoms (fractional coordinates):
Tm (0.000, 0.248, 0.500)
Tm (0.500, 0.752, 0.000)
Tm (0.000, 0.752, 0.500)
Tm (0.500, 0.248, 0.000)
Tm (0.000, 0.000, 0.000)
Tm (0.500, 0.756, 0.500)
Tm (0.500, 0.244, 0.500)
Al (0.727, 0.000, 0.273)
Al (0.273, 0.000, 0.727)
Bi (0.798, 0.500, 0.798)
Bi (0.202, 0.500, 0.202)

Density functional theory data (PBE-GGA) for a geometry-optimized UAl4Bi structure.

## Properties
E   -0.36326 Ry per atom
Calculated density   7.5 g/cm3
Formation energy   0.5 eV/f.u.
Fermi-level density of states   7.9 states/eV/cell

Unit cell a=5.580 b=5.580 c=5.580 alpha=60.00 beta=60.00 gamma=60.00
Atoms (fractional coordinates):
U (0.000, 0.000, 0.000)
Bi (0.250, 0.250, 0.250)
Al (0.625, 0.625, 0.124)
Al (0.625, 0.124, 0.625)
Al (0.625, 0.625, 0.625)
Al (0.124, 0.625, 0.625)

Density functional theory data (PBE-GGA) for a geometry-optimized UAlBi2 structure.

## Properties
E   -0.41334 Ry per atom
Calculated density   11.0 g/cm3
Formation energy   0.3 eV/f.u.
Fermi-level density of states   7.2 states/eV/cell

Unit cell a=4.293 b=4.900 c=4.900 alpha=90.00 beta=90.00 gamma=90.00
Atoms (fractional coordinates):
U (0.500, 0.000, 0.000)
Bi (0.000, 0.000, 0.500)
Bi (0.000, 0.500, 0.000)
Al (0.500, 0.500, 0.500)

Density functional theory data (PBE-GGA) for a geometry-optimized UAlBi structure.

## Properties
E   -0.45371 Ry per atom
Calculated density   11.0 g/cm3
Formation energy   0.4 eV/f.u.
Fermi-level density of states   9.1 states/eV/cell

Unit cell a=3.880 b=5.328 c=7.096 alpha=101.55 beta=90.00 gamma=90.00
Atoms (fractional coordinates):
U (0.250, 0.031, 0.118)
U (0.750, 0.969, 0.882)
Al (0.250, 0.842, 0.521)
Al (0.750, 0.158, 0.479)
Bi (0.250, 0.443, 0.792)
Bi (0.750, 0.557, 0.208)

Density functional theory data (PBE-GGA) for a geometry-optimized AlVBi3 structure.

## Properties
E   -0.29057 Ry per atom
Calculated density   7.4 g/cm3
E above lowest polymorph   2.076 eV/f.u.
Formation energy   4.7 eV/f.u.
Fermi-level density of states   9.3 states/eV/cell

Unit cell a=5.413 b=5.413 c=5.413 alpha=90.00 beta=90.00 gamma=90.00
Atoms (fractional coordinates):
Bi (0.000, 0.500, 0.000)
Bi (0.000, 0.000, 0.500)
Bi (0.500, 0.000, 0.000)
Al (0.000, 0.000, 0.000)
V (0.500, 0.500, 0.500)

Density functional theory data (PBE-GGA) for a geometry-optimized AlV2Bi structure.

## Properties
E   -0.43022 Ry per atom
Calculated density   7.3 g/cm3
E above lowest polymorph   0.766 eV/f.u.
Formation energy   2.4 eV/f.u.
Fermi-level density of states   10.2 states/eV/cell

Unit cell a=4.000 b=4.000 c=10.014 alpha=78.48 beta=78.48 gamma=90.00
Atoms (fractional coordinates):
Bi (0.000, 0.000, 0.000)
Bi (0.750, 0.250, 0.500)
Al (0.500, 0.500, 0.000)
Al (0.250, 0.750, 0.500)
V (0.573, 0.125, 0.250)
V (0.177, 0.625, 0.250)
V (0.375, 0.427, 0.750)
V (0.875, 0.823, 0.750)